Arrangement w

Entry from Alexandria via LeMat-Bulk: an optimized crystal structure of CoSi2W (PBE).

Properties
Crystal system: orthorhombic
DOS(E_F) in states/eV per cell: 2.75
Calculated density in Mg/m³: 9.46
Total magnetization in μB/f.u.: 0.30

Cell lengths 2.768, 3.779, 5.014 Å; angles 90.00, 90.00, 90.00 degrees
Fractional coordinates of all 4 atoms:
Co 0.000 0.000 0.000
Si 0.000 0.500 0.250
Si 0.000 0.500 0.750
W 0.500 0.000 0.500

***

Arrangement x

Entry from Alexandria via LeMat-Bulk: an optimized crystal structure of CoSi2W (PBE).

Properties
Crystal system: trigonal
DOS(E_F) in states/eV per cell: 3.35
Calculated density in Mg/m³: 9.50
Total magnetization in μB/f.u.: 0.03

Cell lengths 8.052, 8.052, 8.052 Å; angles 19.77, 19.77, 19.77 degrees
Fractional coordinates of all 4 atoms:
Co 0.000 0.000 0.000
Si 0.259 0.259 0.259
Si 0.741 0.741 0.741
W 0.500 0.500 0.500

***

Short version: arrangement x is the least stable of them.